# Y2HPdRh, optimized geometry, DFT PBE
# electronic total energy = -32.45 eV per cell
# magnetization = 0.00 μB/f.u.
# density = 7.395 g/cm3
data_Y2HPdRh
_space_group_name_H-M_alt 'P 4/m m m'
_space_group_IT_number 123
_space_group_name_Hall '-P 4 2'
_cell_length_a 4.898
_cell_length_b 4.898
_cell_length_c 3.633
_cell_angle_alpha 90.00
_cell_angle_beta 90.00
_cell_angle_gamma 90.00
loop_
_atom_site_label
_atom_site_fract_x
_atom_site_fract_y
_atom_site_fract_z
Y1 0.000 0.500 0.000
H1 0.000 0.000 0.000
Pd1 0.000 0.000 0.500
Rh1 0.500 0.500 0.500

=====

# YH8PdRh4, optimized geometry, DFT PBE
# electronic total energy = -212.44 eV per cell
# magnetization = 0.00 μB/f.u.
# density = 8.015 g/cm3
data_YH8PdRh4
_space_group_name_H-M_alt 'R 3 m'
_space_group_IT_number 160
_space_group_name_Hall 'R 3 -2"'
_cell_length_a 5.6477
_cell_length_b 5.6477
_cell_length_c 13.8381
_cell_angle_alpha 90.00
_cell_angle_beta 90.00
_cell_angle_gamma 120.00
loop_
_atom_site_label
_atom_site_fract_x
_atom_site_fract_y
_atom_site_fract_z
Y1 0.0000 0.0000 0.0000
H1 0.0000 0.0000 0.3825
H2 0.0000 0.0000 0.8419
H3 0.0333 0.5166 0.8467
H4 0.0864 0.5432 0.3840
Pd1 0.0000 0.0000 0.6151
Rh1 0.0000 0.0000 0.2533
Rh2 0.0038 0.5019 0.1207

=====

# YH4Pd2Rh, optimized geometry, DFT PBE
# electronic total energy = -81.94 eV per cell
# magnetization = 0.00 μB/f.u.
# density = 8.291 g/cm3
data_YH4Pd2Rh
_space_group_name_H-M_alt 'I -4 2 m'
_space_group_IT_number 121
_space_group_name_Hall 'I -4 2'
_cell_length_a 5.200
_cell_length_b 5.200
_cell_length_c 6.055
_cell_angle_alpha 90.00
_cell_angle_beta 90.00
_cell_angle_gamma 90.00
loop_
_atom_site_label
_atom_site_fract_x
_atom_site_fract_y
_atom_site_fract_z
Y1 0.000 0.000 0.000
H1 0.195 0.195 0.674
Pd1 0.000 0.500 0.250
Rh1 0.000 0.000 0.500

=====

# Y2HPdRh, optimized geometry, DFT PBE
# electronic total energy = -32.70 eV per cell
# magnetization = 0.00 μB/f.u.
# density = 7.348 g/cm3
data_Y2HPdRh
_space_group_name_H-M_alt 'P 4/m m m'
_space_group_IT_number 123
_space_group_name_Hall '-P 4 2'
_cell_length_a 4.970
_cell_length_b 4.970
_cell_length_c 3.552
_cell_angle_alpha 90.00
_cell_angle_beta 90.00
_cell_angle_gamma 90.00
loop_
_atom_site_label
_atom_site_fract_x
_atom_site_fract_y
_atom_site_fract_z
Y1 0.000 0.500 0.000
H1 0.000 0.000 0.000
Pd1 0.500 0.500 0.500
Rh1 0.000 0.000 0.500